Version i
Entry from the Alexandria database: crystalline KZn3Re at its relaxed geometry (GGA-PBE).

Cell and atoms, written as POSCAR:
```
KZn3Re
1.0
4.9699 0.0000 0.0000
0.0000 4.9699 0.0000
0.0000 0.0000 4.9699
K Zn Re
1 3 1
direct
0.0000 0.0000 0.0000
0.0000 0.5000 0.5000
0.5000 0.0000 0.5000
0.5000 0.5000 0.0000
0.5000 0.5000 0.5000
```

Magnetization in Bohr magnetons per cell: 0.00
ρ in g/cm3: 5.70
Fermi-level density of states in states/eV/f.u.: 4.37

---

Version ii
Entry from the Alexandria database: crystalline KZn3Re at its relaxed geometry (GGA-PBE).

Cell and atoms, written as POSCAR:
```
KZn3Re
1.0
5.8281 0.0000 0.0000
0.0000 5.8281 0.0000
0.0000 0.0000 5.8281
K Zn Re
1 3 1
direct
0.0000 0.0000 0.0000
0.0000 0.0000 0.5000
0.0000 0.5000 0.0000
0.5000 0.0000 0.0000
0.5000 0.5000 0.5000
```

Magnetization in Bohr magnetons per cell: 4.27
ρ in g/cm3: 3.54
Fermi-level density of states in states/eV/f.u.: 6.09

---

Q: Which of them is the least stable? A: version ii.

---

Version i
Entry from the Alexandria database: crystalline K2ZrRe2 at its relaxed geometry (GGA-PBE).

Cell and atoms, written as POSCAR:
```
K2ZrRe2
1.0
3.4907 0.0000 0.0000
0.0000 3.4907 0.0000
0.0000 0.0000 25.2459
K Zr Re
4 2 4
direct
0.0000 0.0000 0.1267
0.0000 0.0000 0.8733
0.5000 0.5000 0.3733
0.5000 0.5000 0.6267
0.0000 0.0000 0.5000
0.5000 0.5000 0.0000
0.0000 0.5000 0.2500
0.0000 0.5000 0.7500
0.5000 0.0000 0.2500
0.5000 0.0000 0.7500
```

Magnetization in Bohr magnetons per cell: 5.67
ρ in g/cm3: 5.85
Fermi-level density of states in states/eV/f.u.: 3.83

---

Version ii
Entry from the Alexandria database: crystalline K2ZrRe2 at its relaxed geometry (GGA-PBE).

Cell and atoms, written as POSCAR:
```
K2ZrRe2
1.0
9.4389 0.0000 0.0000
0.0000 9.4389 0.0000
0.0000 0.0000 2.6030
K Zr Re
4 2 4
direct
0.1048 0.3952 0.0000
0.3952 0.8952 0.0000
0.6048 0.1048 0.0000
0.8952 0.6048 0.0000
0.0000 0.0000 0.0000
0.5000 0.5000 0.0000
0.1970 0.6970 0.5000
0.3030 0.1970 0.5000
0.6970 0.8030 0.5000
0.8030 0.3030 0.5000
```

Magnetization in Bohr magnetons per cell: 0.00
ρ in g/cm3: 7.76
Fermi-level density of states in states/eV/f.u.: 5.88

---

Q: Which of them is the least stable? A: version ii.

---

Version i
Entry from the Alexandria database: crystalline KZrRe2 at its relaxed geometry (GGA-PBE).

Cell and atoms, written as POSCAR:
```
KZrRe2
1.0
3.8835 0.0000 0.0000
0.0000 3.8835 0.0000
0.0000 0.0000 4.9885
K Zr Re
1 1 2
direct
0.0000 0.0000 0.0000
0.5000 0.5000 0.0000
0.0000 0.5000 0.5000
0.5000 0.0000 0.5000
```

Magnetization in Bohr magnetons per cell: 0.00
ρ in g/cm3: 11.10
Fermi-level density of states in states/eV/f.u.: 4.91

---

Version ii
Entry from the Alexandria database: crystalline KZrRe2 at its relaxed geometry (GGA-PBE).

Cell and atoms, written as POSCAR:
```
KZrRe2
1.0
4.7554 0.0000 0.0000
0.0000 4.7554 0.0000
0.0000 0.0000 19.1162
K Zr Re
4 4 8
direct
0.0000 0.0000 0.0000
0.0000 0.5000 0.2500
0.5000 0.0000 0.7500
0.5000 0.5000 0.5000
0.0000 0.0000 0.5000
0.0000 0.5000 0.7500
0.5000 0.0000 0.2500
0.5000 0.5000 0.0000
0.0743 0.2500 0.6250
0.2500 0.5743 0.8750
0.2500 0.9257 0.3750
0.4257 0.2500 0.1250
0.5743 0.7500 0.1250
0.7500 0.0743 0.3750
0.7500 0.4257 0.8750
0.9257 0.7500 0.6250
```

Magnetization in Bohr magnetons per cell: 0.00
ρ in g/cm3: 7.72
Fermi-level density of states in states/eV/f.u.: 4.79

---

Q: Which of them is the least stable? A: version ii.

---

Version i
Entry from the Alexandria database: crystalline KZrRe2 at its relaxed geometry (GGA-PBE).

Cell and atoms, written as POSCAR:
```
KZrRe2
1.0
5.5399 0.0000 0.0000
0.0000 10.2568 0.0000
-0.5839 0.0000 2.6449
K Zr Re
2 2 4
direct
0.0000 0.0000 0.0000
0.5000 0.5000 0.0000
0.0000 0.5000 0.0000
0.5000 0.0000 0.0000
0.2500 0.2500 0.5000
0.2500 0.7500 0.5000
0.7500 0.2500 0.5000
0.7500 0.7500 0.5000
```

Magnetization in Bohr magnetons per cell: 0.00
ρ in g/cm3: 11.11
Fermi-level density of states in states/eV/f.u.: 3.19

---

Version ii
Entry from the Alexandria database: crystalline KZrRe2 at its relaxed geometry (GGA-PBE).

Cell and atoms, written as POSCAR:
```
KZrRe2
1.0
5.5465 0.0000 0.0000
0.0000 10.3407 0.0000
0.0000 0.0000 2.6426
K Zr Re
2 2 4
direct
0.0000 0.0000 0.0000
0.5000 0.5000 0.0000
0.0000 0.5000 0.0000
0.5000 0.0000 0.0000
0.2500 0.2500 0.5000
0.2500 0.7500 0.5000
0.7500 0.2500 0.5000
0.7500 0.7500 0.5000
```

Magnetization in Bohr magnetons per cell: 0.00
ρ in g/cm3: 11.02
Fermi-level density of states in states/eV/f.u.: 3.50

---

Q: Which of them is the least stable? A: version ii.

---

Version i
Entry from the Alexandria database: crystalline KZrRe2 at its relaxed geometry (GGA-PBE).

Cell and atoms, written as POSCAR:
```
KZrRe2
1.0
2.9405 0.0000 0.0000
0.0000 4.0389 0.0000
-0.8560 0.0000 8.5660
K Zr Re
1 1 2
direct
0.0000 0.0000 0.0000
0.3812 0.5000 0.6068
0.4666 0.5000 0.3148
0.8966 0.0000 0.4208
```

Magnetization in Bohr magnetons per cell: 0.00
ρ in g/cm3: 8.21
Fermi-level density of states in states/eV/f.u.: 4.06

---

Version ii
Entry from the Alexandria database: crystalline KZrRe2 at its relaxed geometry (GGA-PBE).

Cell and atoms, written as POSCAR:
```
KZrRe2
1.0
3.0826 0.0000 0.0000
0.0000 4.6743 0.0000
0.0000 0.0000 5.1023
K Zr Re
1 1 2
direct
0.0000 0.0000 0.0000
0.5000 0.5000 0.0000
0.0000 0.5000 0.5000
0.5000 0.0000 0.5000
```

Magnetization in Bohr magnetons per cell: 0.00
ρ in g/cm3: 11.35
Fermi-level density of states in states/eV/f.u.: 4.10

---

Q: Which of them is the least stable? A: version ii.

---

Version i
Entry from the Alexandria database: crystalline KZrRe2 at its relaxed geometry (GGA-PBE).

Cell and atoms, written as POSCAR:
```
KZrRe2
1.0
3.0545 0.0000 0.0000
0.0000 4.9153 0.0000
0.0000 0.0000 10.0543
K Zr Re
2 2 4
direct
0.0000 0.0000 0.0000
0.5000 0.5000 0.5000
0.0000 0.0000 0.5000
0.5000 0.5000 0.0000
0.0000 0.5000 0.2335
0.0000 0.5000 0.7665
0.5000 0.0000 0.2665
0.5000 0.0000 0.7335
```

Magnetization in Bohr magnetons per cell: 0.00
ρ in g/cm3: 11.06
Fermi-level density of states in states/eV/f.u.: 3.80

---

Version ii
Entry from the Alexandria database: crystalline KZrRe2 at its relaxed geometry (GGA-PBE).

Cell and atoms, written as POSCAR:
```
KZrRe2
1.0
10.0096 0.0000 0.0000
0.0000 2.7436 0.0000
-0.0460 0.0000 7.2826
K Zr Re
2 2 4
direct
0.0000 0.0000 0.0000
0.5000 0.5000 0.0000
0.0000 0.5000 0.5000
0.5000 0.0000 0.5000
0.2456 0.0000 0.6474
0.2544 0.5000 0.3526
0.7456 0.5000 0.6474
0.7544 0.0000 0.3526
```

Magnetization in Bohr magnetons per cell: 0.00
ρ in g/cm3: 8.35
Fermi-level density of states in states/eV/f.u.: 3.71

---

Q: Which of them is the least stable? A: version i.

---

Version i
Entry from the Alexandria database: crystalline KZrRe2 at its relaxed geometry (GGA-PBE).

Cell and atoms, written as POSCAR:
```
KZrRe2
1.0
3.8949 0.0000 0.0000
0.0000 3.8949 0.0000
0.0000 0.0000 9.8871
K Zr Re
2 2 4
direct
0.0000 0.0000 0.0000
0.5000 0.5000 0.5000
0.0000 0.0000 0.5000
0.5000 0.5000 0.0000
0.0000 0.5000 0.2500
0.0000 0.5000 0.7500
0.5000 0.0000 0.2500
0.5000 0.0000 0.7500
```

Magnetization in Bohr magnetons per cell: 0.00
ρ in g/cm3: 11.13
Fermi-level density of states in states/eV/f.u.: 4.63

---

Version ii
Entry from the Alexandria database: crystalline KZrRe2 at its relaxed geometry (GGA-PBE).

Cell and atoms, written as POSCAR:
```
KZrRe2
1.0
3.2807 0.0000 0.0000
0.0000 5.0635 0.0000
0.0000 0.0000 10.5432
K Zr Re
2 2 4
direct
0.0000 0.0000 0.0000
0.5000 0.5000 0.5000
0.0000 0.5000 0.2159
0.5000 0.0000 0.7159
0.0000 0.0000 0.4269
0.0000 0.5000 0.7635
0.5000 0.0000 0.2635
0.5000 0.5000 0.9269
```

Magnetization in Bohr magnetons per cell: 0.00
ρ in g/cm3: 9.53
Fermi-level density of states in states/eV/f.u.: 3.25

---

Q: Which of them is the least stable? A: version i.

---

Version i
Entry from the Alexandria database: crystalline KZrRe2 at its relaxed geometry (GGA-PBE).

Cell and atoms, written as POSCAR:
```
KZrRe2
1.0
2.7107 0.0000 0.0000
0.0000 2.7107 0.0000
0.0000 0.0000 10.7713
K Zr Re
1 1 2
direct
0.0000 0.0000 0.0000
0.0000 0.0000 0.5000
0.5000 0.5000 0.2771
0.5000 0.5000 0.7229
```

Magnetization in Bohr magnetons per cell: 0.00
ρ in g/cm3: 10.55
Fermi-level density of states in states/eV/f.u.: 4.81

---

Version ii
Entry from the Alexandria database: crystalline KZrRe2 at its relaxed geometry (GGA-PBE).

Cell and atoms, written as POSCAR:
```
KZrRe2
1.0
3.0861 0.0000 0.0000
0.0000 3.0861 0.0000
0.0000 0.0000 9.8422
K Zr Re
1 1 2
direct
0.0000 0.0000 0.0000
0.5000 0.5000 0.6284
0.0000 0.0000 0.4280
0.5000 0.5000 0.2903
```

Magnetization in Bohr magnetons per cell: 0.60
ρ in g/cm3: 8.91
Fermi-level density of states in states/eV/f.u.: 4.52

---

Version iii
Entry from the Alexandria database: crystalline KZrRe2 at its relaxed geometry (GGA-PBE).

Cell and atoms, written as POSCAR:
```
KZrRe2
1.0
4.8210 0.0000 0.0000
0.0000 4.8210 0.0000
0.0000 0.0000 3.4278
K Zr Re
1 1 2
direct
0.0000 0.0000 0.0000
0.5000 0.5000 0.0000
0.0000 0.5000 0.5000
0.5000 0.0000 0.5000
```

Magnetization in Bohr magnetons per cell: 2.73
ρ in g/cm3: 10.48
Fermi-level density of states in states/eV/f.u.: 4.99

---

Version iv
Entry from the Alexandria database: crystalline KZrRe2 at its relaxed geometry (GGA-PBE).

Cell and atoms, written as POSCAR:
```
KZrRe2
1.0
6.6861 0.0000 0.0000
0.0000 6.6861 0.0000
0.0000 0.0000 6.6861
K Zr Re
4 4 8
direct
0.0000 0.0000 0.0000
0.0000 0.5000 0.5000
0.5000 0.0000 0.5000
0.5000 0.5000 0.0000
0.2500 0.2500 0.7500
0.2500 0.7500 0.2500
0.7500 0.2500 0.2500
0.7500 0.7500 0.7500
0.0000 0.0000 0.5000
0.0000 0.5000 0.0000
0.2500 0.2500 0.2500
0.2500 0.7500 0.7500
0.5000 0.0000 0.0000
0.5000 0.5000 0.5000
0.7500 0.2500 0.7500
0.7500 0.7500 0.2500
```

Magnetization in Bohr magnetons per cell: 0.00
ρ in g/cm3: 11.17
Fermi-level density of states in states/eV/f.u.: 5.93

---

Q: Which of them is the least stable? A: version iii.